# InCuTcNi

A relaxed InCuTcNi crystal (PBE, OQMD).

Unit cell a=4.372 b=4.372 c=4.372 alpha=60.00 beta=60.00 gamma=60.00
Fractional positions:
Ni  0.500  0.500  0.500
In  0.000  0.000  0.000
Cu  0.750  0.750  0.750
Tc  0.250  0.250  0.250

Results
total moment: 2.1 μB per formula unit
DFT total energy: -0.3892 Ry/atom
energy above the most stable polymorph in this dataset: 75.8 meV/atom


# InCuTcNi

A relaxed InCuTcNi crystal (PBE, OQMD).

Unit cell a=4.349 b=4.349 c=4.349 alpha=60.00 beta=60.00 gamma=60.00
Fractional positions:
In  0.000  0.000  0.000
Tc  0.500  0.500  0.500
Ni  0.250  0.250  0.250
Cu  0.750  0.750  0.750

Results
total moment: 2.2 μB per formula unit
DFT total energy: -0.3947 Ry/atom
energy above the most stable polymorph in this dataset: 0.0 meV/atom


# Tm3In3CuNi2

A relaxed Tm3In3CuNi2 crystal (PBE, OQMD).

Unit cell a=7.418 b=7.418 c=3.796 alpha=90.00 beta=90.00 gamma=120.00
Fractional positions:
In  0.740  0.000  0.500
In  0.000  0.740  0.500
In  0.260  0.260  0.500
Cu  0.000  0.000  0.000
Ni  0.333  0.667  0.500
Ni  0.667  0.333  0.500
Tm  0.000  0.409  0.000
Tm  0.409  0.000  0.000
Tm  0.591  0.591  0.000

Results
total moment: 0.0 μB per formula unit
DFT total energy: -0.3332 Ry/atom


# YTm2In3Cu2Ni

A relaxed YTm2In3Cu2Ni crystal (PBE, OQMD).

Unit cell a=3.858 b=7.438 c=7.438 alpha=120.05 beta=90.00 gamma=90.00
Fractional positions:
Tm  0.000  0.000  0.594
Tm  0.000  0.594  0.000
Y  0.000  0.407  0.407
In  0.500  0.999  0.253
In  0.500  0.747  0.747
In  0.500  0.253  0.999
Cu  0.500  0.670  0.332
Cu  0.500  0.332  0.670
Ni  0.000  0.997  0.997

Results
total moment: 0.0 μB per formula unit
DFT total energy: -0.3320 Ry/atom


# Y2TmIn3Cu2Ni

A relaxed Y2TmIn3Cu2Ni crystal (PBE, OQMD).

Unit cell a=3.892 b=7.401 c=7.401 alpha=119.95 beta=90.00 gamma=90.00
Fractional positions:
In  0.500  0.000  0.747
In  0.500  0.253  0.253
In  0.500  0.747  0.000
Cu  0.500  0.336  0.666
Cu  0.500  0.666  0.336
Y  0.000  0.407  0.001
Y  0.000  0.001  0.407
Tm  0.000  0.595  0.595
Ni  0.000  0.996  0.996

Results
total moment: 0.0 μB per formula unit
DFT total energy: -0.3485 Ry/atom


# InCuNiW

A relaxed InCuNiW crystal (PBE, OQMD).

Unit cell a=4.364 b=4.364 c=4.364 alpha=60.00 beta=60.00 gamma=60.00
Fractional positions:
Ni  0.250  0.250  0.250
In  0.000  0.000  0.000
Cu  0.750  0.750  0.750
W  0.500  0.500  0.500

Results
total moment: 0.0 μB per formula unit
DFT total energy: -0.4308 Ry/atom
energy above the most stable polymorph in this dataset: 0.0 meV/atom


# InCuNiW

A relaxed InCuNiW crystal (PBE, OQMD).

Unit cell a=4.406 b=4.406 c=4.406 alpha=60.00 beta=60.00 gamma=60.00
Fractional positions:
Ni  0.500  0.500  0.500
Cu  0.750  0.750  0.750
In  0.000  0.000  0.000
W  0.250  0.250  0.250

Results
total moment: 0.3 μB per formula unit
DFT total energy: -0.4178 Ry/atom
energy above the most stable polymorph in this dataset: 176.7 meV/atom


# YInCuNi

A relaxed YInCuNi crystal (PBE, OQMD).

Unit cell a=4.659 b=4.659 c=4.659 alpha=60.00 beta=60.00 gamma=60.00
Fractional positions:
Y  0.500  0.500  0.500
Ni  0.250  0.250  0.250
Cu  0.750  0.750  0.750
In  0.000  0.000  0.000

Results
total moment: 0.0 μB per formula unit
DFT total energy: -0.3642 Ry/atom
energy above the most stable polymorph in this dataset: 0.0 meV/atom


# YInCuNi

A relaxed YInCuNi crystal (PBE, OQMD).

Unit cell a=4.668 b=4.668 c=4.668 alpha=60.00 beta=60.00 gamma=60.00
Fractional positions:
In  0.000  0.000  0.000
Cu  0.750  0.750  0.750
Y  0.250  0.250  0.250
Ni  0.500  0.500  0.500

Results
total moment: 0.0 μB per formula unit
DFT total energy: -0.3437 Ry/atom
energy above the most stable polymorph in this dataset: 279.3 meV/atom


# Y2InCuNi

A relaxed Y2InCuNi crystal (PBE, OQMD).

Unit cell a=3.682 b=7.423 c=7.423 alpha=31.39 beta=90.00 gamma=90.00
Fractional positions:
Ni  0.000  0.200  0.200
Y  0.500  0.364  0.364
Y  0.500  0.634  0.634
Cu  0.000  0.800  0.800
In  0.000  0.002  0.002

Results
total moment: 0.0 μB per formula unit
DFT total energy: -0.4011 Ry/atom


# ZrInCuNi

A relaxed ZrInCuNi crystal (PBE, OQMD).

Unit cell a=4.541 b=4.541 c=4.541 alpha=60.00 beta=60.00 gamma=60.00
Fractional positions:
In  0.000  0.000  0.000
Cu  0.750  0.750  0.750
Ni  0.500  0.500  0.500
Zr  0.250  0.250  0.250

Results
total moment: 0.0 μB per formula unit
DFT total energy: -0.3831 Ry/atom
energy above the most stable polymorph in this dataset: 272.7 meV/atom


# ZrInCuNi

A relaxed ZrInCuNi crystal (PBE, OQMD).

Unit cell a=4.525 b=4.525 c=4.525 alpha=60.00 beta=60.00 gamma=60.00
Fractional positions:
Zr  0.000  0.000  0.000
Cu  0.750  0.750  0.750
In  0.250  0.250  0.250
Ni  0.500  0.500  0.500

Results
total moment: 0.0 μB per formula unit
DFT total energy: -0.3824 Ry/atom
energy above the most stable polymorph in this dataset: 281.7 meV/atom


# ZrInCuNi

A relaxed ZrInCuNi crystal (PBE, OQMD).

Unit cell a=4.505 b=4.505 c=4.505 alpha=60.00 beta=60.00 gamma=60.00
Fractional positions:
Cu  0.750  0.750  0.750
In  0.500  0.500  0.500
Zr  0.000  0.000  0.000
Ni  0.250  0.250  0.250

Results
total moment: 0.0 μB per formula unit
DFT total energy: -0.4031 Ry/atom
energy above the most stable polymorph in this dataset: 0.0 meV/atom


# ZrInCuNi

A relaxed ZrInCuNi crystal (PBE, OQMD).

Unit cell a=4.497 b=4.497 c=6.399 alpha=90.00 beta=90.00 gamma=90.00
Fractional positions:
Zr  0.500  0.000  0.749
Zr  0.000  0.500  0.251
Ni  0.000  0.000  0.500
Ni  0.500  0.500  0.000
Cu  0.500  0.500  0.500
Cu  0.000  0.000  0.000
In  0.000  0.500  0.751
In  0.500  0.000  0.249

Results
total moment: 0.0 μB per formula unit
DFT total energy: -0.4031 Ry/atom
energy above the most stable polymorph in this dataset: 0.0 meV/atom


# InCuOsPt

A relaxed InCuOsPt crystal (PBE, OQMD).

Unit cell a=4.473 b=4.473 c=4.473 alpha=60.00 beta=60.00 gamma=60.00
Fractional positions:
Pt  0.500  0.500  0.500
Cu  0.750  0.750  0.750
Os  0.250  0.250  0.250
In  0.000  0.000  0.000

Results
total moment: 0.9 μB per formula unit
DFT total energy: -0.4117 Ry/atom
energy above the most stable polymorph in this dataset: 0.0 meV/atom


# InCuReOs

A relaxed InCuReOs crystal (PBE, OQMD).

Unit cell a=4.427 b=4.427 c=4.427 alpha=60.00 beta=60.00 gamma=60.00
Fractional positions:
In  0.000  0.000  0.000
Cu  0.750  0.750  0.750
Os  0.250  0.250  0.250
Re  0.500  0.500  0.500

Results
total moment: 0.0 μB per formula unit
DFT total energy: -0.5185 Ry/atom
energy above the most stable polymorph in this dataset: 0.0 meV/atom


# InCuOsS3

A relaxed InCuOsS3 crystal (PBE, OQMD).

Unit cell a=6.451 b=6.451 c=9.175 alpha=90.00 beta=90.00 gamma=33.45
Fractional positions:
S  0.626  0.626  0.966
S  0.374  0.374  0.034
S  0.074  0.074  0.250
S  0.626  0.626  0.534
S  0.374  0.374  0.466
S  0.926  0.926  0.750
Os  0.000  0.000  0.000
Os  0.000  0.000  0.500
Cu  0.458  0.458  0.250
Cu  0.542  0.542  0.750
In  0.743  0.743  0.250
In  0.257  0.257  0.750

Results
total moment: 0.0 μB per formula unit
DFT total energy: -0.3749 Ry/atom


# InCuOsSe2S

A relaxed InCuOsSe2S crystal (PBE, OQMD).

Unit cell a=6.892 b=6.892 c=9.208 alpha=90.00 beta=90.00 gamma=147.97
Fractional positions:
Se  0.629  0.371  0.540
Se  0.371  0.629  0.040
Se  0.629  0.371  0.960
Se  0.371  0.629  0.460
S  0.071  0.929  0.250
S  0.929  0.071  0.750
In  0.737  0.263  0.250
In  0.263  0.737  0.750
Cu  0.476  0.524  0.250
Cu  0.524  0.476  0.750
Os  0.000  0.000  0.500
Os  0.000  0.000  0.000

Results
total moment: 0.0 μB per formula unit
DFT total energy: -0.3563 Ry/atom


# InCuTeOsS2

A relaxed InCuTeOsS2 crystal (PBE, OQMD).

Unit cell a=7.360 b=7.360 c=9.911 alpha=90.00 beta=90.00 gamma=151.25
Fractional positions:
Te  0.417  0.583  0.750
Te  0.583  0.417  0.250
Os  0.500  0.500  0.500
Os  0.500  0.500  0.000
S  0.892  0.108  0.464
S  0.108  0.892  0.964
S  0.892  0.108  0.036
S  0.108  0.892  0.536
Cu  0.943  0.057  0.250
Cu  0.057  0.943  0.750
In  0.722  0.278  0.750
In  0.278  0.722  0.250

Results
total moment: 0.0 μB per formula unit
DFT total energy: -0.3561 Ry/atom


# ScInCuOs

A relaxed ScInCuOs crystal (PBE, OQMD).

Unit cell a=4.571 b=4.571 c=4.571 alpha=60.00 beta=60.00 gamma=60.00
Fractional positions:
Cu  0.750  0.750  0.750
In  0.000  0.000  0.000
Sc  0.250  0.250  0.250
Os  0.500  0.500  0.500

Results
total moment: 0.0 μB per formula unit
DFT total energy: -0.4318 Ry/atom
energy above the most stable polymorph in this dataset: 215.8 meV/atom


# ScInCuOs

A relaxed ScInCuOs crystal (PBE, OQMD).

Unit cell a=4.567 b=4.567 c=4.567 alpha=60.00 beta=60.00 gamma=60.00
Fractional positions:
Os  0.250  0.250  0.250
Cu  0.750  0.750  0.750
In  0.000  0.000  0.000
Sc  0.500  0.500  0.500

Results
total moment: 0.0 μB per formula unit
DFT total energy: -0.4476 Ry/atom
energy above the most stable polymorph in this dataset: 0.0 meV/atom


# InCuOsSe3

A relaxed InCuOsSe3 crystal (PBE, OQMD).

Unit cell a=3.817 b=6.949 c=9.567 alpha=90.00 beta=90.00 gamma=74.06
Fractional positions:
Cu  0.467  0.067  0.250
Cu  0.533  0.933  0.750
In  0.244  0.511  0.750
In  0.756  0.489  0.250
Se  0.078  0.845  0.250
Se  0.626  0.748  0.538
Se  0.626  0.748  0.962
Se  0.374  0.252  0.462
Se  0.374  0.252  0.038
Se  0.922  0.155  0.750
Os  0.000  0.000  0.000
Os  0.000  0.000  0.500

Results
total moment: 0.0 μB per formula unit
DFT total energy: -0.3458 Ry/atom


# InCu3OsSe4

A relaxed InCu3OsSe4 crystal (PBE, OQMD).

Unit cell a=5.968 b=5.968 c=5.968 alpha=90.00 beta=90.00 gamma=90.00
Last column: magnetic moment on the atom in μB.
Fractional positions:
Os  0.500  0.500  0.500  0.28
Se  0.268  0.268  0.268  0.01
Se  0.732  0.268  0.732  0.02
Se  0.268  0.732  0.732  0.02
Se  0.732  0.732  0.268  0.01
Cu  0.500  0.500  0.000  0.01
Cu  0.000  0.500  0.500  0.02
Cu  0.500  0.000  0.500  0.01
In  0.000  0.000  0.000  0.02

Results
total moment: 0.5 μB per formula unit
DFT total energy: -0.3107 Ry/atom


# TaInCuOs

A relaxed TaInCuOs crystal (PBE, OQMD).

Unit cell a=4.504 b=4.504 c=4.504 alpha=60.00 beta=60.00 gamma=60.00
Fractional positions:
Os  0.250  0.250  0.250
Ta  0.500  0.500  0.500
Cu  0.750  0.750  0.750
In  0.000  0.000  0.000

Results
total moment: 0.0 μB per formula unit
DFT total energy: -0.5361 Ry/atom
energy above the most stable polymorph in this dataset: 0.0 meV/atom


# TaInCuOs

A relaxed TaInCuOs crystal (PBE, OQMD).

Unit cell a=4.520 b=4.520 c=4.520 alpha=60.00 beta=60.00 gamma=60.00
Fractional positions:
Os  0.500  0.500  0.500
Cu  0.750  0.750  0.750
In  0.000  0.000  0.000
Ta  0.250  0.250  0.250

Results
total moment: 0.1 μB per formula unit
DFT total energy: -0.5218 Ry/atom
energy above the most stable polymorph in this dataset: 195.7 meV/atom


# InCuTcOs

A relaxed InCuTcOs crystal (PBE, OQMD).

Unit cell a=4.426 b=4.426 c=4.426 alpha=60.00 beta=60.00 gamma=60.00
Fractional positions:
Os  0.250  0.250  0.250
Cu  0.750  0.750  0.750
In  0.000  0.000  0.000
Tc  0.500  0.500  0.500

Results
total moment: 0.0 μB per formula unit
DFT total energy: -0.4877 Ry/atom
energy above the most stable polymorph in this dataset: 0.0 meV/atom


# InCuTe3Os

A relaxed InCuTe3Os crystal (PBE, OQMD).

Unit cell a=7.529 b=7.529 c=10.122 alpha=90.00 beta=90.00 gamma=30.73
Fractional positions:
In  0.262  0.262  0.250
In  0.738  0.738  0.750
Os  0.500  0.500  0.500
Os  0.500  0.500  0.000
Cu  0.032  0.032  0.750
Cu  0.968  0.968  0.250
Te  0.419  0.419  0.750
Te  0.581  0.581  0.250
Te  0.127  0.127  0.963
Te  0.873  0.873  0.463
Te  0.127  0.127  0.537
Te  0.873  0.873  0.037

Results
total moment: 0.0 μB per formula unit
DFT total energy: -0.3234 Ry/atom